## A
{
  "formula": "HfBe3Ru",
  "functional": "PBE",
  "state": "optimized geometry",
  "spacegroup": "Pm-3m, No. 221",
  "cell": [[-0.787, -1.649, 4.042], [3.899, -2.111, -0.102], [1.962, 3.535, 1.824]],
  "species": ["Hf", "Be", "Be", "Be", "Ru"],
  "frac_coords": [[0.000, 0.000, 0.000], [0.000, 0.000, 0.500], [0.500, 0.000, 0.000], [0.000, 0.500, 0.000], [0.500, 0.500, 0.500]]
}


## B
{
  "formula": "HfBe3Ru",
  "functional": "PBE",
  "state": "optimized geometry",
  "spacegroup": "Pm-3m, No. 221",
  "cell": [[-0.033, -1.287, 3.883], [2.833, -2.808, -0.907], [2.951, 2.682, 0.914]],
  "species": ["Be", "Be", "Be", "Hf", "Ru"],
  "frac_coords": [[0.500, 0.000, 0.000], [0.000, 0.000, 0.500], [0.000, 0.500, 0.000], [0.500, 0.500, 0.500], [0.000, 0.000, 0.000]]
}


The least stable of them is A.


## A
{
  "formula": "HfBeSb3",
  "functional": "PBE",
  "state": "optimized geometry",
  "spacegroup": "Pm-3m, No. 221",
  "cell": [[-3.403, 0.155, 3.518], [-2.418, -3.660, -2.177], [2.561, -3.250, 2.620]],
  "species": ["Sb", "Sb", "Sb", "Be", "Hf"],
  "frac_coords": [[0.000, 0.500, 0.000], [0.000, 0.000, 0.500], [0.500, 0.000, 0.000], [0.000, 0.000, 0.000], [0.500, 0.500, 0.500]]
}


## B
{
  "formula": "HfBeSb3",
  "functional": "PBE",
  "state": "optimized geometry",
  "spacegroup": "Pm-3m, No. 221",
  "cell": [[-3.167, -0.264, 4.469], [2.098, -4.923, 1.197], [3.954, 2.401, 2.945]],
  "species": ["Sb", "Sb", "Sb", "Be", "Hf"],
  "frac_coords": [[0.000, 0.500, 0.000], [0.000, 0.000, 0.500], [0.500, 0.000, 0.000], [0.500, 0.500, 0.500], [0.000, 0.000, 0.000]]
}


The least stable of them is B.